# 1
Entry from Alexandria: a relaxed LiTb2Hg7 crystal (GGA-PBE).

Computed properties:
- E: -15.4 eV per cell
- Mass density: 11.15 g cm⁻³

```
LiTb2Hg7
1.0
-2.6326 -3.5323 2.3234
4.2419 -1.1811 -2.3275
6.1161 2.0795 10.0916
Li Tb Hg
1 2 7
Cartesian
5.9192 2.0125 9.7667 Li
2.1952 -1.8862 4.9581 Tb
5.8252 -0.6474 5.6162 Tb
4.2029 -1.1990 2.9394 Hg
2.7115 -1.7061 0.4786 Hg
1.5504 0.5272 2.5582 Hg
3.2625 1.1092 5.3831 Hg
4.3207 -1.1635 8.4651 Hg
-0.0736 -2.6576 1.2144 Hg
7.3436 -0.1311 8.1215 Hg
```



# 2
Entry from Alexandria: a relaxed Tb2TmHfP4 crystal (GGA-PBE).

Computed properties:
- E: -57.6 eV per cell
- Mass density: 7.73 g cm⁻³

```
Tb2TmHfP4
1.0
3.9080 0.0000 0.0000
0.0000 6.7755 0.1280
0.0000 -2.3581 6.3612
Tb Tm Hf P
2 1 1 4
Cartesian
1.9540 -1.1791 3.1806 Tb
0.0000 2.2087 3.2446 Tb
1.9540 3.3878 0.0640 Tm
0.0000 0.0000 0.0000 Hf
1.9540 1.0571 1.5197 P
1.9540 3.3602 4.9695 P
0.0000 -0.1297 4.8734 P
0.0000 4.5471 1.6158 P
```